Entry 1:
Material: Rb2Cu2AuCl6
Method: DFT, PBE
State: relaxed

POSCAR file:
```
Rb2Cu2AuCl6
1.0
6.891 -3.516 0.000
6.891 3.516 0.000
-2.466 0.000 6.457
Rb Cu Au Cl
2 2 1 6
Direct
0.221 0.221 0.197
0.779 0.779 0.803
0.451 0.451 0.791
0.549 0.549 0.209
0.000 0.000 0.500
0.199 0.702 0.222
0.282 0.282 0.716
0.298 0.801 0.778
0.702 0.199 0.222
0.718 0.718 0.284
0.801 0.298 0.778
```

Properties
The uncorrected formation energy is -961 meV per atom. The value obtained for the density of states at the Fermi level is 2.56 states/eV/f.u. For the total energy, the calculation gives -3.187 eV per atom.

Entry 2:
Material: Rb3CuAu2Cl9
Method: DFT, PBE
State: relaxed

POSCAR file:
```
Rb3CuAu2Cl9
1.0
7.168 0.000 0.000
-3.584 6.208 0.000
0.000 0.000 8.789
Rb Cu Au Cl
3 1 2 9
Direct
0.000 0.000 0.000
0.333 0.667 0.661
0.667 0.333 0.339
0.000 0.000 0.500
0.333 0.667 0.173
0.667 0.333 0.827
0.000 0.500 0.000
0.161 0.323 0.339
0.161 0.839 0.339
0.323 0.161 0.661
0.500 0.000 0.000
0.500 0.500 0.000
0.677 0.839 0.339
0.839 0.161 0.661
0.839 0.677 0.661
```

Properties
The uncorrected formation energy is -1000 meV per atom. The value obtained for the density of states at the Fermi level is 4.86 states/eV/f.u. For the total energy, the calculation gives -3.012 eV per atom.

Entry 3:
Material: CuRhAu2Cl
Method: DFT, PBE
State: relaxed

POSCAR file:
```
CuRhAu2Cl
1.0
5.183 0.000 0.000
0.000 5.183 0.000
0.000 0.000 4.390
Cu Rh Au Cl
1 1 2 1
Direct
0.000 0.000 0.000
0.500 0.500 0.500
0.000 0.500 0.500
0.500 0.000 0.500
0.500 0.500 0.000
```

Properties
The uncorrected formation energy is 791 meV per atom. The value obtained for the density of states at the Fermi level is 5.71 states/eV/f.u. For the total energy, the calculation gives -3.178 eV per atom.

Entry 4:
Material: CuAuSCl2
Method: DFT, PBE
State: relaxed

POSCAR file:
```
CuAuSCl2
1.0
4.455 0.000 0.000
0.000 4.455 0.000
0.000 0.000 5.186
Cu Au S Cl
1 1 1 2
Direct
0.000 0.000 0.000
0.500 0.500 0.500
0.000 0.000 0.500
0.000 0.500 0.000
0.500 0.000 0.000
```

Properties
The uncorrected formation energy is 341 meV per atom. The energy relative to the lowest polymorph listed for this composition comes out at 0 meV/atom. The value obtained for the density of states at the Fermi level is 4.39 states/eV/f.u. For the total energy, the calculation gives -2.698 eV per atom.

Entry 5:
Material: CuAuS2Cl
Method: DFT, PBE
State: relaxed

POSCAR file:
```
CuAuS2Cl
1.0
4.628 0.000 0.000
0.000 4.628 0.000
0.000 0.000 4.578
Cu Au S Cl
1 1 2 1
Direct
0.000 0.000 0.000
0.500 0.500 0.500
0.000 0.500 0.000
0.500 0.000 0.000
0.000 0.000 0.500
```

Properties
The uncorrected formation energy is 610 meV per atom. The energy relative to the lowest polymorph listed for this composition comes out at 0 meV/atom. The value obtained for the density of states at the Fermi level is 6.79 states/eV/f.u. For the total energy, the calculation gives -2.885 eV per atom.

Entry 6:
Material: CuAuSCl2
Method: DFT, PBE
State: relaxed

POSCAR file:
```
CuAuSCl2
1.0
4.925 0.000 0.000
0.000 4.925 0.000
0.000 0.000 4.965
Cu Au S Cl
1 1 1 2
Direct
0.000 0.000 0.000
0.500 0.500 0.500
0.500 0.500 0.000
0.000 0.500 0.500
0.500 0.000 0.500
```

Properties
The uncorrected formation energy is 515 meV per atom. The energy relative to the lowest polymorph listed for this composition comes out at 175 meV/atom. The value obtained for the density of states at the Fermi level is 5.74 states/eV/f.u. For the total energy, the calculation gives -2.523 eV per atom.

Entry 7:
Material: TaCuAu2Cl
Method: DFT, PBE
State: relaxed

POSCAR file:
```
TaCuAu2Cl
1.0
5.087 0.000 0.000
0.000 5.087 0.000
0.000 0.000 4.081
Ta Cu Au Cl
1 1 2 1
Direct
0.000 0.000 0.000
0.500 0.500 0.000
0.000 0.500 0.500
0.500 0.000 0.500
0.500 0.500 0.500
```

Properties
The uncorrected formation energy is 1324 meV per atom. The value obtained for the density of states at the Fermi level is 5.35 states/eV/f.u. For the total energy, the calculation gives -3.546 eV per atom.

Entry 8:
Material: Tl3Cu2AuCl8
Method: DFT, PBE
State: relaxed

POSCAR file:
```
Tl3Cu2AuCl8
1.0
7.078 0.000 0.000
-3.539 6.130 0.000
0.000 0.000 9.099
Tl Cu Au Cl
3 2 1 8
Direct
0.000 0.000 0.000
0.333 0.667 0.627
0.667 0.333 0.373
0.333 0.667 0.199
0.667 0.333 0.801
0.000 0.000 0.500
0.168 0.336 0.324
0.168 0.832 0.324
0.333 0.667 0.960
0.336 0.168 0.676
0.664 0.832 0.324
0.667 0.333 0.040
0.832 0.168 0.676
0.832 0.664 0.676
```

Properties
The uncorrected formation energy is -637 meV per atom. The value obtained for the density of states at the Fermi level is 6.95 states/eV/f.u. For the total energy, the calculation gives -3.019 eV per atom.

Entry 9:
Material: TlCu2AuCl6
Method: DFT, PBE
State: relaxed

POSCAR file:
```
TlCu2AuCl6
1.0
6.306 -6.643 0.000
6.306 6.643 0.000
-1.035 0.000 6.489
Tl Cu Au Cl
2 4 2 12
Direct
0.094 0.906 0.750
0.906 0.094 0.250
0.239 0.383 0.738
0.383 0.239 0.238
0.617 0.761 0.762
0.761 0.617 0.262
0.301 0.699 0.250
0.699 0.301 0.750
0.028 0.239 0.697
0.185 0.599 0.924
0.239 0.028 0.197
0.275 0.426 0.409
0.401 0.815 0.576
0.426 0.275 0.909
0.574 0.725 0.091
0.599 0.185 0.424
0.725 0.574 0.591
0.761 0.972 0.803
0.815 0.401 0.076
0.972 0.761 0.303
```

Properties
The uncorrected formation energy is -498 meV per atom. The value obtained for the density of states at the Fermi level is 9.90 states/eV/f.u. For the total energy, the calculation gives -2.990 eV per atom.

Entry 10:
Material: TlCuAuCl5
Method: DFT, PBE
State: relaxed

POSCAR file:
```
TlCuAuCl5
1.0
3.912 -6.765 0.000
3.912 6.765 0.000
-3.516 0.000 8.448
Tl Cu Au Cl
2 2 2 10
Direct
0.182 0.818 0.750
0.818 0.182 0.250
0.158 0.842 0.250
0.842 0.158 0.750
0.500 0.500 0.000
0.500 0.500 0.500
0.137 0.221 0.931
0.188 0.667 0.408
0.221 0.137 0.431
0.333 0.812 0.092
0.433 0.567 0.750
0.567 0.433 0.250
0.667 0.188 0.908
0.779 0.863 0.569
0.812 0.333 0.592
0.863 0.779 0.069
```

Properties
The uncorrected formation energy is -513 meV per atom. The value obtained for the density of states at the Fermi level is 5.53 states/eV/f.u. For the total energy, the calculation gives -2.885 eV per atom.

Entry 11:
Material: Tl2Cu2AuCl6
Method: DFT, PBE
State: relaxed

POSCAR file:
```
Tl2Cu2AuCl6
1.0
6.893 -3.494 0.000
6.893 3.494 0.000
-2.121 0.000 6.315
Tl Cu Au Cl
2 2 1 6
Direct
0.229 0.229 0.205
0.771 0.771 0.795
0.458 0.458 0.786
0.542 0.542 0.214
0.000 0.000 0.500
0.190 0.690 0.220
0.290 0.290 0.704
0.310 0.810 0.780
0.690 0.190 0.220
0.710 0.710 0.296
0.810 0.310 0.780
```

Properties
The uncorrected formation energy is -601 meV per atom. The value obtained for the density of states at the Fermi level is 3.13 states/eV/f.u. For the total energy, the calculation gives -3.081 eV per atom.

Entry 12:
Material: K2DyAuCl6
Method: DFT, PBE
State: relaxed

POSCAR file:
```
K2DyAuCl6
1.0
0.000 5.361 5.361
5.361 0.000 5.361
5.361 5.361 0.000
K Dy Au Cl
2 1 1 6
Direct
0.250 0.250 0.250
0.750 0.750 0.750
0.000 0.000 0.000
0.500 0.500 0.500
0.245 0.245 0.755
0.245 0.755 0.245
0.245 0.755 0.755
0.755 0.245 0.245
0.755 0.245 0.755
0.755 0.755 0.245
```

Properties
The uncorrected formation energy is -1638 meV per atom. The value obtained for the density of states at the Fermi level is 0.00 states/eV/f.u. For the total energy, the calculation gives -3.753 eV per atom.

Entry 13:
Material: ErAuCl6
Method: DFT, PBE
State: relaxed

POSCAR file:
```
ErAuCl6
1.0
5.686 0.000 0.000
0.272 6.915 0.000
2.464 3.043 6.232
Er Au Cl
1 1 6
Direct
0.000 0.000 0.000
0.500 0.500 0.000
0.006 0.804 0.372
0.300 0.377 0.828
0.405 0.844 0.809
0.595 0.156 0.191
0.700 0.623 0.172
0.994 0.196 0.628
```

Properties
The uncorrected formation energy is -1168 meV per atom. For the total energy, the calculation gives -3.533 eV per atom.

Entry 14:
Material: ErAuCl
Method: DFT, PBE
State: relaxed

POSCAR file:
```
ErAuCl
1.0
9.331 0.000 0.000
0.000 3.766 0.000
-4.195 0.000 10.271
Er Au Cl
4 4 4
Direct
0.009 0.000 0.170
0.491 0.500 0.830
0.509 0.500 0.170
0.991 0.000 0.830
0.165 0.500 0.045
0.335 0.000 0.955
0.665 0.000 0.045
0.835 0.500 0.955
0.073 0.500 0.350
0.427 0.000 0.650
0.573 0.000 0.350
0.927 0.500 0.650
```

Properties
The uncorrected formation energy is -1356 meV per atom. The value obtained for the density of states at the Fermi level is 0.35 states/eV/f.u. For the total energy, the calculation gives -4.585 eV per atom.

Entry 15:
Material: Eu2AuCl
Method: DFT, PBE
State: relaxed

POSCAR file:
```
Eu2AuCl
1.0
4.263 0.000 0.000
-2.131 3.692 0.000
0.000 0.000 22.997
Eu Au Cl
6 3 3
Direct
0.000 0.000 0.245
0.000 0.000 0.755
0.333 0.667 0.422
0.333 0.667 0.911
0.667 0.333 0.089
0.667 0.333 0.578
0.000 0.000 0.500
0.333 0.667 0.167
0.667 0.333 0.833
0.000 0.000 0.000
0.333 0.667 0.667
0.667 0.333 0.333
```

Properties
The uncorrected formation energy is -1231 meV per atom. The energy relative to the lowest polymorph listed for this composition comes out at 0 meV/atom. The value obtained for the density of states at the Fermi level is 17.51 states/eV/f.u. For the total energy, the calculation gives -7.649 eV per atom.

Entry 16:
Material: Eu2AuCl
Method: DFT, PBE
State: relaxed

POSCAR file:
```
Eu2AuCl
1.0
3.693 0.000 0.000
0.000 3.693 0.000
0.000 0.000 8.043
Eu Au Cl
2 1 1
Direct
0.000 0.000 0.230
0.000 0.000 0.770
0.500 0.500 0.000
0.500 0.500 0.500
```

Properties
The uncorrected formation energy is -1143 meV per atom. The energy relative to the lowest polymorph listed for this composition comes out at 87 meV/atom. The value obtained for the density of states at the Fermi level is 2.08 states/eV/f.u. For the total energy, the calculation gives -7.562 eV per atom.

Entry 17:
Material: Eu3Au5Cl12
Method: DFT, PBE
State: relaxed

POSCAR file:
```
Eu3Au5Cl12
1.0
-8.137 8.137 8.137
8.137 -8.137 8.137
8.137 8.137 -8.137
Eu Au Cl
12 20 48
Direct
0.125 0.250 0.375
0.125 0.375 0.750
0.250 0.375 0.125
0.250 0.875 0.625
0.375 0.125 0.250
0.375 0.750 0.125
0.625 0.250 0.875
0.625 0.875 0.750
0.750 0.125 0.375
0.750 0.625 0.875
0.875 0.625 0.250
0.875 0.750 0.625
0.000 0.000 0.000
0.000 0.000 0.500
0.000 0.500 0.000
0.000 0.500 0.500
0.125 0.750 0.875
0.125 0.875 0.250
0.250 0.125 0.875
0.250 0.625 0.375
0.375 0.250 0.625
0.375 0.625 0.750
0.500 0.000 0.000
0.500 0.000 0.500
0.500 0.500 0.000
0.500 0.500 0.500
0.625 0.375 0.250
0.625 0.750 0.375
0.750 0.375 0.625
0.750 0.875 0.125
0.875 0.125 0.750
0.875 0.250 0.125
0.046 0.220 0.132
0.046 0.326 0.914
0.086 0.632 0.412
0.086 0.954 0.674
0.088 0.720 0.674
0.088 0.868 0.414
0.132 0.046 0.220
0.132 0.586 0.912
0.174 0.220 0.588
0.174 0.454 0.586
0.220 0.132 0.046
0.220 0.588 0.174
0.280 0.326 0.912
0.280 0.454 0.368
0.326 0.912 0.280
0.326 0.914 0.046
0.368 0.280 0.454
0.368 0.588 0.914
0.412 0.086 0.632
0.412 0.826 0.780
0.414 0.088 0.868
0.414 0.826 0.546
0.454 0.368 0.280
0.454 0.586 0.174
0.546 0.414 0.826
0.546 0.632 0.720
0.586 0.174 0.454
0.586 0.912 0.132
0.588 0.174 0.220
0.588 0.914 0.368
0.632 0.412 0.086
0.632 0.720 0.546
0.674 0.086 0.954
0.674 0.088 0.720
0.720 0.546 0.632
0.720 0.674 0.088
0.780 0.412 0.826
0.780 0.868 0.954
0.826 0.546 0.414
0.826 0.780 0.412
0.868 0.414 0.088
0.868 0.954 0.780
0.912 0.132 0.586
0.912 0.280 0.326
0.914 0.046 0.326
0.914 0.368 0.588
0.954 0.674 0.086
0.954 0.780 0.868
```

Properties
The uncorrected formation energy is -1035 meV per atom. The value obtained for the density of states at the Fermi level is 53.17 states/eV/f.u. For the total energy, the calculation gives -4.503 eV per atom.

Entry 18:
Material: K2EuAuCl6
Method: DFT, PBE
State: relaxed

POSCAR file:
```
K2EuAuCl6
1.0
0.000 5.386 5.386
5.386 0.000 5.386
5.386 5.386 0.000
K Eu Au Cl
2 1 1 6
Direct
0.250 0.250 0.250
0.750 0.750 0.750
0.000 0.000 0.000
0.500 0.500 0.500
0.253 0.253 0.747
0.253 0.747 0.253
0.253 0.747 0.747
0.747 0.253 0.253
0.747 0.253 0.747
0.747 0.747 0.253
```

Properties
The uncorrected formation energy is -1519 meV per atom. The value obtained for the density of states at the Fermi level is 9.07 states/eV/f.u. For the total energy, the calculation gives -4.202 eV per atom.

Entry 19:
Material: Rb2EuAuCl6
Method: DFT, PBE
State: relaxed

POSCAR file:
```
Rb2EuAuCl6
1.0
0.000 5.409 5.409
5.409 0.000 5.409
5.409 5.409 0.000
Rb Eu Au Cl
2 1 1 6
Direct
0.250 0.250 0.250
0.750 0.750 0.750
0.000 0.000 0.000
0.500 0.500 0.500
0.253 0.253 0.747
0.253 0.747 0.253
0.253 0.747 0.747
0.747 0.253 0.253
0.747 0.253 0.747
0.747 0.747 0.253
```

Properties
The uncorrected formation energy is -1557 meV per atom. The value obtained for the density of states at the Fermi level is 9.32 states/eV/f.u. For the total energy, the calculation gives -4.213 eV per atom.

Entry 20:
Material: AuClF
Method: DFT, PBE
State: relaxed

POSCAR file:
```
AuClF
1.0
3.622 0.000 0.000
1.804 5.387 0.000
0.113 2.434 7.322
Au Cl F
2 2 2
Direct
0.000 0.000 0.000
0.408 0.157 0.438
0.626 0.751 0.944
0.782 0.407 0.493
0.016 0.945 0.397
0.393 0.211 0.043
```

Properties
The uncorrected formation energy is -509 meV per atom. The energy relative to the lowest polymorph listed for this composition comes out at 64 meV/atom. The value obtained for the density of states at the Fermi level is 2.11 states/eV/f.u. For the total energy, the calculation gives -2.841 eV per atom.